i) Compound: LiOsRu2
Source: Alexandria via LeMat-Bulk
Functional: PBE
Structure: relaxed

For the magnetic moment, the calculation gives 0.0000 μB per atom.

The space group is P4/mmm (No. 123) and the conventional cell measures 2.8943, 2.8943 and 6.2452 Å, with angles of 90.00, 90.00 and 90.00 degrees. The asymmetric unit holds Li at (0.0000, 0.0000, 0.0000), Os at (0.0000, 0.0000, 0.5000) and Ru at (0.5000, 0.5000, 0.2316).

---

ii) Compound: LiOsRu2
Source: Alexandria via LeMat-Bulk
Functional: PBE
Structure: relaxed

For the magnetic moment, the calculation gives 0.0001 μB per atom.

The space group is I-4m2 (No. 119) and the conventional cell measures 3.6671, 3.6671 and 7.9985 Å, with angles of 90.00, 90.00 and 90.00 degrees. The asymmetric unit holds Li at (0.0000, 0.0000, 0.0000), Os at (0.0000, 0.5000, 0.7500), Ru at (0.0000, 0.0000, 0.5000) and Ru at (0.0000, 0.5000, 0.2500).

---

Which structure above is the least stable one? ii) is the least stable one.